[1]
VASP calculation (PBE) on Pm2SiPt2 after structural relaxation.

Cell and atoms, written as CIF:
```
data_Pm2SiPt2
_chemical_formula_sum 'Pm8 Si4 Pt8'
_cell_length_a 9.773
_cell_length_b 5.687
_cell_length_c 7.899
_cell_angle_alpha 90.00
_cell_angle_beta 104.13
_cell_angle_gamma 90.00
_space_group_name_H-M_alt 'C 1 2/c 1'
_space_group_IT_number 15
_space_group_name_Hall '-C 2yc'
loop_
_atom_site_label
_atom_site_fract_x
_atom_site_fract_y
_atom_site_fract_z
Pm1 0.152 0.122 0.155
Si1 0.000 0.347 0.750
Pt1 0.127 0.377 0.495
```

Summary:
The value obtained for the raw formation energy is -1.061 eV per atom. The value obtained for the polymorph energy (0 for the lowest one) is 0 meV/atom.


[2]
VASP calculation (PBE) on Pu4Se3N2 after structural relaxation.

Cell and atoms, written as CIF:
```
data_Pu4Se3N2
_chemical_formula_sum 'Pu16 Se12 N8'
_cell_length_a 12.736
_cell_length_b 9.765
_cell_length_c 6.250
_cell_angle_alpha 90.00
_cell_angle_beta 90.44
_cell_angle_gamma 90.00
_space_group_name_H-M_alt 'C 1 2/c 1'
_space_group_IT_number 15
_space_group_name_Hall '-C 2yc'
loop_
_atom_site_label
_atom_site_fract_x
_atom_site_fract_y
_atom_site_fract_z
Pu1 0.123 0.180 0.470
Pu2 0.165 0.423 0.928
Se1 0.000 0.403 0.250
Se2 0.115 0.130 0.970
N1 0.207 0.374 0.585
```

Summary:
The value obtained for the raw formation energy is -1.470 eV per atom.